Record 1
First-principles (GGA+U) data for a geometry-optimized Li3VPCO7 structure, as listed in Alexandria via LeMat-Bulk.

Values from the calculation:
calculated density: 2.6 g/cm3
crystal system: monoclinic
magnetic moment: 6.00 μB per cell
VASP energy: -6.837 eV/atom

abc: 6.716 5.218 8.370
angles: 87.44 90.00 90.00
Fractional coordinates of all 26 atoms:
O (0.933, 0.924, 0.775)
P (0.252, 0.959, 0.323)
O (0.230, 0.653, 0.951)
O (0.748, 0.475, 0.301)
O (0.568, 0.927, 0.773)
O (0.257, 0.071, 0.491)
Li (0.840, 0.576, 0.503)
O (0.433, 0.076, 0.225)
Li (0.340, 0.424, 0.497)
Li (0.515, 0.052, 0.995)
P (0.752, 0.041, 0.677)
Li (0.015, 0.948, 0.005)
C (0.743, 0.533, 0.149)
Li (0.237, 0.411, 0.159)
V (0.750, 0.071, 0.267)
O (0.253, 0.232, 0.906)
O (0.068, 0.073, 0.227)
Li (0.737, 0.589, 0.841)
O (0.753, 0.768, 0.094)
O (0.730, 0.347, 0.049)
O (0.757, 0.929, 0.509)
O (0.749, 0.337, 0.669)
O (0.249, 0.663, 0.331)
C (0.243, 0.467, 0.851)
O (0.248, 0.525, 0.699)
V (0.250, 0.929, 0.733)

Record 2
First-principles (GGA+U) data for a geometry-optimized Li3PWCO7 structure, as listed in Alexandria via LeMat-Bulk.

Values from the calculation:
calculated density: 3.8 g/cm3
crystal system: monoclinic
magnetic moment: 8.00 μB per cell
VASP energy: -6.611 eV/atom

abc: 6.665 5.120 9.256
angles: 84.04 90.00 90.00
Fractional coordinates of all 26 atoms:
Li (0.464, 0.181, 0.742)
Li (0.250, 0.667, 0.887)
Li (0.964, 0.819, 0.258)
O (0.750, 0.318, 0.552)
O (0.250, 0.027, 0.926)
O (0.750, 0.973, 0.074)
W (0.250, 0.344, 0.324)
C (0.750, 0.850, 0.959)
O (0.930, 0.405, 0.302)
Li (0.036, 0.181, 0.742)
Li (0.750, 0.333, 0.113)
O (0.750, 0.973, 0.375)
W (0.750, 0.656, 0.676)
O (0.250, 0.027, 0.625)
O (0.070, 0.595, 0.698)
C (0.250, 0.150, 0.041)
O (0.570, 0.405, 0.302)
O (0.250, 0.682, 0.448)
P (0.750, 0.269, 0.391)
P (0.250, 0.731, 0.609)
O (0.250, 0.019, 0.174)
Li (0.536, 0.819, 0.258)
O (0.250, 0.400, 0.033)
O (0.750, 0.600, 0.967)
O (0.750, 0.981, 0.826)
O (0.430, 0.595, 0.698)

> The highest magnetic moment belongs to which entry?

Li3PWCO7

Please write out number 1 again, unchanged.
First-principles (GGA+U) data for a geometry-optimized Li3VPCO7 structure, as listed in Alexandria via LeMat-Bulk.

Values from the calculation:
calculated density: 2.6 g/cm3
crystal system: monoclinic
magnetic moment: 6.00 μB per cell
VASP energy: -6.837 eV/atom

abc: 6.716 5.218 8.370
angles: 87.44 90.00 90.00
Fractional coordinates of all 26 atoms:
O (0.933, 0.924, 0.775)
P (0.252, 0.959, 0.323)
O (0.230, 0.653, 0.951)
O (0.748, 0.475, 0.301)
O (0.568, 0.927, 0.773)
O (0.257, 0.071, 0.491)
Li (0.840, 0.576, 0.503)
O (0.433, 0.076, 0.225)
Li (0.340, 0.424, 0.497)
Li (0.515, 0.052, 0.995)
P (0.752, 0.041, 0.677)
Li (0.015, 0.948, 0.005)
C (0.743, 0.533, 0.149)
Li (0.237, 0.411, 0.159)
V (0.750, 0.071, 0.267)
O (0.253, 0.232, 0.906)
O (0.068, 0.073, 0.227)
Li (0.737, 0.589, 0.841)
O (0.753, 0.768, 0.094)
O (0.730, 0.347, 0.049)
O (0.757, 0.929, 0.509)
O (0.749, 0.337, 0.669)
O (0.249, 0.663, 0.331)
C (0.243, 0.467, 0.851)
O (0.248, 0.525, 0.699)
V (0.250, 0.929, 0.733)

> Which of these has the highest calculated density?

Li3PWCO7

> Among the records above, which one has the lowest calculated density?

Li3VPCO7